Here is a relaxed CsSr2NiF8 crystal from the Alexandria database. Energies are from PBE+U.

Calculated values
uncorrected energy	-57.4	eV/f.u.

```
data_CsSr2NiF8
_space_group_name_H-M_alt 'P 1'
_space_group_IT_number 1
_cell_length_a 5.2916
_cell_length_b 5.5396
_cell_length_c 7.5243
_cell_angle_alpha 70.96
_cell_angle_beta 93.13
_cell_angle_gamma 100.55
loop_
_space_group_symop_operation_xyz
'x,y,z'
loop_
_atom_site_label
_atom_site_fract_x
_atom_site_fract_y
_atom_site_fract_z
_atom_site_occupancy
Cs1 0.0000 0.0000 0.5000 1
Sr1 0.5284 0.3855 0.7798 1
Sr2 0.4716 0.6145 0.2202 1
Ni1 0.0000 0.0000 0.0000 1
F1 0.0108 0.7219 0.2184 1
F2 0.7364 0.7382 0.9128 1
F3 0.7323 0.0828 0.0962 1
F4 0.9892 0.2781 0.7816 1
F5 0.2636 0.2618 0.0872 1
F6 0.2677 0.9172 0.9038 1
F7 0.4383 0.7200 0.5052 1
F8 0.5617 0.2800 0.4948 1
```